Entry 1:
Zn2SnSbBr, PBEsol geometry, DFT SCAN; uncorrected formation energy = 0.40 eV per atom; SG = P4/mmm (123); calculated density = 5.03 g/cm3; calculated volume = 148.9 Å³/f.u.
1.0
5.080 0.000 0.000
0.000 5.080 0.000
0.000 0.000 5.768
Zn Sn Sb Br
2 1 1 1
Cartesian
0.000 2.540 0.000
2.540 0.000 0.000
0.000 0.000 0.000
0.000 0.000 2.884
2.540 2.540 2.884

Entry 2:
MnOs3, PBEsol geometry, DFT SCAN; energy of formation = 5.2 kJ per mole of atoms; SG = P-6m2 (187); calculated density = 19.70 g/cm3; calculated volume = 52.7 Å³/f.u.
1.0
2.691 0.000 0.000
-1.346 2.331 0.000
0.000 0.000 8.408
Mn Os
1 3
Cartesian
0.000 0.000 0.000
0.000 0.000 4.204
1.346 0.777 2.012
1.346 0.777 6.396

Entry 3:
TeAsAu2, PBEsol geometry, DFT SCAN; uncorrected formation energy = 0.20 eV per atom; SG = P4mm (99); calculated density = 11.69 g/cm3; calculated volume = 84.7 Å³/f.u.
1.0
3.385 0.000 0.000
0.000 3.385 0.000
0.000 0.000 7.393
Te As Au
1 1 2
Cartesian
0.000 0.000 0.000
1.693 1.693 2.792
0.000 0.000 3.910
1.693 1.693 5.527

Entry 4:
NiPF2, PBEsol geometry, DFT SCAN; uncorrected formation energy = -0.65 eV per atom; SG = I-42d (122); calculated density = 4.08 g/cm3; calculated volume = 51.9 Å³/f.u.
1.0
6.922 0.000 0.000
0.000 6.922 0.000
0.000 0.000 4.333
Ni P F
4 4 8
Cartesian
0.000 0.000 0.000
0.000 3.461 1.083
3.461 0.000 3.250
3.461 3.461 2.166
0.000 0.000 2.166
0.000 3.461 3.250
3.461 0.000 1.083
3.461 3.461 0.000
0.829 1.730 0.542
1.730 4.290 1.625
1.730 6.093 3.791
2.632 1.730 2.708
4.290 5.191 2.708
5.191 0.829 3.791
5.191 2.632 1.625
6.093 5.191 0.542

Entry 5:
Ca2MgTc, PBEsol geometry, DFT SCAN; energy of formation = 35.7 kJ per mole of atoms; SG = P4mm (99); calculated density = 3.33 g/cm3; calculated volume = 100.9 Å³/f.u.
1.0
3.509 0.000 0.000
0.000 3.509 0.000
0.000 0.000 8.196
Ca Mg Tc
2 1 1
Cartesian
0.000 0.000 0.000
1.754 1.754 3.121
0.000 0.000 5.225
1.754 1.754 6.327

Entry 6:
ZnCrO4, PBEsol geometry, DFT SCAN; uncorrected formation energy = -1.77 eV per atom; SG = P2_1/c (14); calculated density = 4.22 g/cm3; calculated volume = 71.4 Å³/f.u.
1.0
5.334 0.000 0.000
0.000 8.220 0.000
-4.432 0.000 6.514
Zn Cr O
4 4 16
Cartesian
-0.859 0.459 2.520
-3.075 3.651 5.777
3.976 4.569 0.737
1.760 7.761 3.994
-0.878 5.633 3.996
1.338 6.697 0.738
-0.437 1.523 5.776
1.780 2.587 2.519
0.473 5.303 0.347
-1.743 7.027 3.604
-0.904 4.626 2.720
-3.121 7.704 5.977
-1.962 1.955 5.439
0.254 2.155 2.182
-1.492 4.862 5.355
0.724 7.468 2.098
0.177 0.752 4.416
2.393 3.358 1.159
0.647 6.065 4.332
2.863 6.265 1.075
4.022 0.516 0.537
1.806 3.594 3.794
2.644 1.193 2.910
0.428 2.917 6.167